[1]
## Sm5TmPt6 (GGA-PBE)

Data for a relaxed structure of Sm5TmPt6.

The structure in CIF format:
```
data_Sm5TmPt6
_symmetry_space_group_name_H-M 'C 1 2/m 1'
_symmetry_Int_Tables_number 12
_cell_length_a 15.973
_cell_length_b 7.017
_cell_length_c 5.029
_cell_angle_alpha 90.00
_cell_angle_beta 108.04
_cell_angle_gamma 90.00
loop_
_symmetry_equiv_pos_as_xyz
'x,y,z'
'-x,-y,-z'
'-x,y,-z'
'x,-y,z'
'x+1/2,y+1/2,z'
'-x+1/2,-y+1/2,-z'
'-x+1/2,y+1/2,-z'
'x+1/2,-y+1/2,z'
loop_
_atom_site_label
_atom_site_fract_x
_atom_site_fract_y
_atom_site_fract_z
Sm1 0.000 0.000 0.000
Sm2 0.166 0.000 0.667
Sm3 0.167 0.500 0.667
Tm1 0.000 0.500 0.000
Pt1 0.000 0.259 0.500
Pt2 0.160 0.256 0.161
```

Output
Mass density: 13.0 g cm⁻³
Calculated volume: 268.0 Å³/f.u.
D(E_F): 0.62 states/eV/atom
Uncorrected energy: -6.49 eV/atom
Energy of formation: -1133.6 meV per atom


[2]
## Tb5CeHo3 (GGA-PBE)

Data for a relaxed structure of Tb5CeHo3.

The structure in CIF format:
```
data_Tb5CeHo3
_symmetry_space_group_name_H-M 'C 1 2/m 1'
_symmetry_Int_Tables_number 12
_cell_length_a 11.410
_cell_length_b 11.391
_cell_length_c 11.372
_cell_angle_alpha 90.00
_cell_angle_beta 118.87
_cell_angle_gamma 90.00
loop_
_symmetry_equiv_pos_as_xyz
'x,y,z'
'-x,-y,-z'
'-x,y,-z'
'x,-y,z'
'x+1/2,y+1/2,z'
'-x+1/2,-y+1/2,-z'
'-x+1/2,y+1/2,-z'
'x+1/2,-y+1/2,z'
loop_
_atom_site_label
_atom_site_fract_x
_atom_site_fract_y
_atom_site_fract_z
Tb1 0.000 0.233 0.000
Tb2 0.015 0.000 0.379
Tb3 0.182 0.000 0.925
Tb4 0.190 0.257 0.634
Ce1 0.087 0.500 0.796
Ho1 0.000 0.500 0.000
Ho2 0.000 0.500 0.500
Ho3 0.153 0.000 0.205
Ho4 0.202 0.500 0.350
```

Output
Mass density: 7.3 g cm⁻³
Calculated volume: 323.6 Å³/f.u.
D(E_F): 1.58 states/eV/atom
Uncorrected energy: -4.15 eV/atom
Energy of formation: 607.4 meV per atom


[3]
## AlTc2Ir (GGA-PBE)

Data for a relaxed structure of AlTc2Ir.

The structure in CIF format:
```
data_AlTc2Ir
_symmetry_space_group_name_H-M 'P m m m'
_symmetry_Int_Tables_number 47
_cell_length_a 2.795
_cell_length_b 4.072
_cell_length_c 5.102
_cell_angle_alpha 90.00
_cell_angle_beta 90.00
_cell_angle_gamma 90.00
loop_
_symmetry_equiv_pos_as_xyz
'x,y,z'
'-x,-y,-z'
'-x,-y,z'
'x,y,-z'
'x,-y,-z'
'-x,y,z'
'-x,y,-z'
'x,-y,z'
loop_
_atom_site_label
_atom_site_fract_x
_atom_site_fract_y
_atom_site_fract_z
Al1 0.000 0.000 0.000
Tc1 0.500 0.500 0.237
Ir1 0.000 0.000 0.500
```

Output
Mass density: 11.9 g cm⁻³
Calculated volume: 58.1 Å³/f.u.
D(E_F): 1.04 states/eV/atom
Uncorrected energy: -8.55 eV/atom
Energy of formation: -216.8 meV per atom


[4]
## SrCr2Sb (GGA-PBE)

Data for a relaxed structure of SrCr2Sb.

The structure in CIF format:
```
data_SrCr2Sb
_symmetry_space_group_name_H-M 'R 3 m'
_symmetry_Int_Tables_number 160
_symmetry_space_group_name_Hall 'R 3 -2"'
_cell_length_a 4.5070
_cell_length_b 4.5070
_cell_length_c 17.2302
_cell_angle_alpha 90.00
_cell_angle_beta 90.00
_cell_angle_gamma 120.00
loop_
_atom_site_label
_atom_site_fract_x
_atom_site_fract_y
_atom_site_fract_z
Sr1 0.0000 0.0000 0.0000
Cr1 0.0000 0.0000 0.4784
Cr2 0.0000 0.0000 0.7978
Sb1 0.0000 0.0000 0.1970
```

Output
Mass density: 5.2 g cm⁻³
Calculated volume: 101.0 Å³/f.u.
D(E_F): 0.53 states/eV/atom
Uncorrected energy: -6.28 eV/atom


[5]
## LiSN2O (GGA-PBE)

Data for a relaxed structure of LiSN2O.

The structure in CIF format:
```
data_LiSN2O
_symmetry_space_group_name_H-M 'P 4/m m m'
_symmetry_Int_Tables_number 123
_symmetry_space_group_name_Hall '-P 4 2'
_cell_length_a 3.326
_cell_length_b 3.326
_cell_length_c 3.975
_cell_angle_alpha 90.00
_cell_angle_beta 90.00
_cell_angle_gamma 90.00
loop_
_atom_site_label
_atom_site_fract_x
_atom_site_fract_y
_atom_site_fract_z
Li1 0.000 0.000 0.000
S1 0.500 0.500 0.500
N1 0.000 0.500 0.500
O1 0.500 0.500 0.000
```

Output
Mass density: 3.1 g cm⁻³
Calculated volume: 44.0 Å³/f.u.
D(E_F): 0.28 states/eV/atom
Uncorrected energy: -4.73 eV/atom


[6]
## CuAgBr (GGA-PBE)

Data for a relaxed structure of CuAgBr.

The structure in CIF format:
```
data_CuAgBr
_symmetry_space_group_name_H-M 'P 3 m 1'
_symmetry_Int_Tables_number 156
_cell_length_a 3.4728
_cell_length_b 3.4728
_cell_length_c 5.7625
_cell_angle_alpha 90.00
_cell_angle_beta 90.00
_cell_angle_gamma 120.00
loop_
_symmetry_equiv_pos_as_xyz
'x,y,z'
'-y,x-y,z'
'-x+y,-x,z'
'-y,-x,z'
'-x+y,y,z'
'x,x-y,z'
loop_
_atom_site_label
_atom_site_fract_x
_atom_site_fract_y
_atom_site_fract_z
Cu1 0.0000 0.0000 0.0000
Ag1 0.6667 0.3333 0.3095
Br1 0.3333 0.6667 0.7181
```

Output
Mass density: 6.9 g cm⁻³
ΔE to the lowest computed polymorph: 0 meV per atom
Calculated volume: 60.2 Å³/f.u.
D(E_F): 0.29 states/eV/atom
Uncorrected energy: -2.74 eV/atom


[7]
## MnNi14Sb (GGA-PBE)

Data for a relaxed structure of MnNi14Sb.

The structure in CIF format:
```
data_MnNi14Sb
_symmetry_space_group_name_H-M 'P 4/m m m'
_symmetry_Int_Tables_number 123
_symmetry_space_group_name_Hall '-P 4 2'
_cell_length_a 5.091
_cell_length_b 5.091
_cell_length_c 7.115
_cell_angle_alpha 90.00
_cell_angle_beta 90.00
_cell_angle_gamma 90.00
loop_
_atom_site_label
_atom_site_fract_x
_atom_site_fract_y
_atom_site_fract_z
Mn1 0.000 0.000 0.000
Ni1 0.000 0.000 0.500
Ni2 0.000 0.500 0.000
Ni3 0.000 0.500 0.500
Ni4 0.246 0.246 0.260
Ni5 0.500 0.500 0.500
Sb1 0.500 0.500 0.000
```

Output
Mass density: 9.0 g cm⁻³
Calculated volume: 184.4 Å³/f.u.
D(E_F): 1.63 states/eV/atom
Uncorrected energy: -5.93 eV/atom


[8]
## BaPtW2 (GGA-PBE)

Data for a relaxed structure of BaPtW2.

The structure in CIF format:
```
data_BaPtW2
_symmetry_space_group_name_H-M 'P 1 2/m 1'
_symmetry_Int_Tables_number 10
_cell_length_a 3.369
_cell_length_b 4.822
_cell_length_c 6.322
_cell_angle_alpha 90.00
_cell_angle_beta 102.71
_cell_angle_gamma 90.00
loop_
_symmetry_equiv_pos_as_xyz
'x,y,z'
'-x,-y,-z'
'-x,y,-z'
'x,-y,z'
loop_
_atom_site_label
_atom_site_fract_x
_atom_site_fract_y
_atom_site_fract_z
Ba1 0.000 0.000 0.000
Pt1 0.500 0.000 0.500
W1 0.303 0.500 0.641
```

Output
Mass density: 11.6 g cm⁻³
ΔE to the lowest computed polymorph: 399 meV per atom
Calculated volume: 100.2 Å³/f.u.
D(E_F): 1.09 states/eV/atom
Uncorrected energy: -7.64 eV/atom
Energy of formation: 825.2 meV per atom